Entry 1:
The following is a DFT calculation (PBE-GGA) of a relaxed structure of BeReIr.

Summary:
- calculated formation energy (meV per atom) = 205
- space group = P6_222
- offset from the most stable computed form (meV per atom) = 522

Lattice parameters (Å, degrees): 5.2474 5.2474 9.6973 90.00 90.00 120.00
Closest atoms and distances in Å follow each position.
Atoms (fractional coordinates):
Be 0.6087 0.3913 0.5000  1 Be 1.98, 2 Ir 2.18
Be 0.7826 0.3913 0.8333  1 Be 1.98, 2 Ir 2.18
Re 0.0000 0.0000 0.5000  4 Be 2.80, 4 Ir 2.88, 4 Re 3.08
Be 0.6087 0.2174 0.1667  1 Be 1.98, 2 Ir 2.18
Ir 0.5000 0.5000 0.7112  4 Be 2.18-2.27
Ir 0.0000 0.5000 0.0445  4 Be 2.18-2.27
Ir 0.0000 0.5000 0.6221  4 Be 2.18-2.27
Re 0.0000 0.5000 0.3333  4 Be 2.45, 4 Ir 2.66
Ir 0.5000 0.0000 0.3779  4 Be 2.18-2.27
Be 0.3913 0.6087 0.5000  1 Be 1.98, 2 Ir 2.18
Be 0.3913 0.7826 0.1667  1 Be 1.98, 2 Ir 2.18
Re 0.5000 0.0000 0.6667  4 Be 2.45, 4 Ir 2.66
Re 0.0000 0.0000 0.1667  4 Be 2.80, 4 Ir 2.88, 4 Re 3.08
Ir 0.5000 0.5000 0.2888  4 Be 2.18-2.27
Re 0.0000 0.0000 0.8333  4 Be 2.80, 4 Ir 2.88, 4 Re 3.08
Be 0.2174 0.6087 0.8333  1 Be 1.98, 2 Ir 2.18
Re 0.5000 0.5000 0.0000  4 Be 2.45, 4 Ir 2.66
Ir 0.5000 0.0000 0.9555  4 Be 2.18-2.27

---

Entry 2:
The following is a DFT calculation (PBE-GGA) of a relaxed structure of LaYMg2.

Summary:
- calculated formation energy (meV per atom) = -53
- space group = Pm

Lattice parameters (Å, degrees): 5.2177 3.4551 6.7516 75.27 90.00 90.00
Closest atoms and distances in Å follow each position.
Atoms (fractional coordinates):
La 0.5000 0.7975 0.7800  7 Mg 3.41-3.57, 2 La 3.46, 4 Y 3.76-3.77
Mg 0.5000 0.0589 0.2578  4 Mg 3.10-3.46, 4 Y 3.39-3.40, 1 La 3.41
Mg 0.0000 0.1856 0.0026  4 Mg 3.10-3.46, 2 Y 3.45, 4 La 3.45
Y 0.0000 0.4580 0.4596  7 Mg 3.39-3.55, 2 Y 3.46, 4 La 3.76-3.77

---

Entry 3:
The following is a DFT calculation (PBE-GGA) of a relaxed structure of Te2IrN.

Summary:
- space group = R-3m
- formation energy from raw total energies (meV/atom) = 528

Lattice parameters (Å, degrees): 6.7644 6.7644 6.7644 35.70 35.70 35.70
Closest atoms and distances in Å follow each position.
Atoms (fractional coordinates):
N 0.0000 0.0000 0.0000  2 Te 1.92
Te 0.1011 0.1011 0.1011  1 N 1.92
Ir 0.5000 0.5000 0.5000  6 Te 2.70
Te 0.8989 0.8989 0.8989  1 N 1.92

---

Entry 4:
The following is a DFT calculation (PBE-GGA) of a relaxed structure of Ac4Pt2RhSe.

Summary:
- space group = Fmm2
- formation energy from raw total energies (meV/atom) = -1201

Lattice parameters (Å, degrees): 6.2259 6.2259 7.6855 113.89 113.89 90.01
Closest atoms and distances in Å follow each position.
Atoms (fractional coordinates):
Pt 0.1868 0.6868 0.5000  6 Ac 3.12-3.15
Ac 0.9373 0.4375 0.0000  2 Rh 3.11, 2 Se 3.11, 2 Pt 3.15
Ac 0.2004 0.2004 0.5269  1 Rh 2.98, 4 Pt 3.12, 1 Se 3.32
Se 0.9376 0.9376 0.0000  6 Ac 3.11-3.32
Pt 0.6868 0.1868 0.5000  6 Ac 3.12-3.15
Ac 0.4375 0.9373 0.0000  2 Rh 3.11, 2 Se 3.11, 2 Pt 3.15
Ac 0.6735 0.6735 0.4731  1 Rh 2.98, 4 Pt 3.12, 1 Se 3.32
Rh 0.4375 0.4375 0.0000  6 Ac 2.98-3.11

---

Entry 5:
The following is a DFT calculation (PBE-GGA) of a relaxed structure of Nb2Tc.

Summary:
- calculated formation energy (meV per atom) = -247
- space group = P-3m1
- offset from the most stable computed form (meV per atom) = 28

Lattice parameters (Å, degrees): 4.5757 4.5757 5.5720 90.00 90.00 120.00
Closest atoms and distances in Å follow each position.
Atoms (fractional coordinates):
Nb 0.0000 0.0000 0.0000  8 Nb 2.79-2.81
Nb 0.6667 0.3333 0.8301  5 Tc 2.78-2.80, 3 Nb 2.81
Tc 0.6667 0.3333 0.3320  8 Nb 2.78-2.80
Nb 0.3333 0.6667 0.1699  5 Tc 2.78-2.80, 3 Nb 2.81
Nb 0.0000 0.0000 0.5000  2 Nb 2.79, 6 Tc 2.80
Tc 0.3333 0.6667 0.6680  8 Nb 2.78-2.80

---

Entry 6:
The following is a DFT calculation (PBE-GGA) of a relaxed structure of Nd3Al2Ni7.

Summary:
- calculated formation energy (meV per atom) = -433
- space group = R-3m

Lattice parameters (Å, degrees): 5.2515 5.2515 8.5781 72.18 72.18 60.00
Closest atoms and distances in Å follow each position.
Atoms (fractional coordinates):
Ni 0.9109 0.4236 0.2420  2 Al 2.45-2.48, 5 Ni 2.54-2.69
Ni 0.5764 0.0891 0.7580  2 Al 2.45-2.48, 5 Ni 2.54-2.69
Al 0.3311 0.3311 0.0067  6 Ni 2.45-2.48
Nd 0.1413 0.1413 0.5761  12 Ni 3.00-3.10, 3 Nd 3.27
Ni 0.4236 0.9109 0.2420  2 Al 2.45-2.48, 5 Ni 2.54-2.69
Ni 0.5764 0.5764 0.7580  2 Al 2.45-2.48, 5 Ni 2.54-2.69
Al 0.6689 0.6689 0.9933  6 Ni 2.45-2.48
Ni 0.5000 0.5000 0.5000  6 Ni 2.54
Ni 0.0891 0.5764 0.7580  2 Al 2.45-2.48, 5 Ni 2.54-2.69
Ni 0.4236 0.4236 0.2420  2 Al 2.45-2.48, 5 Ni 2.54-2.69
Nd 0.0000 0.0000 0.0000  6 Al 3.03, 12 Ni 3.27
Nd 0.8587 0.8587 0.4239  12 Ni 3.00-3.10, 3 Nd 3.27

---

Entry 7:
The following is a DFT calculation (PBE-GGA) of a relaxed structure of PuBr2Cl8.

Summary:
- space group = C2/m
- formation energy from raw total energies (meV/atom) = -741

Lattice parameters (Å, degrees): 7.6187 8.5342 8.5342 51.23 104.05 104.05
Closest atoms and distances in Å follow each position.
Atoms (fractional coordinates):
Pu 0.0000 0.0000 0.0000  6 Cl 2.46-2.58
Cl 0.6548 0.9237 0.9237  1 Pu 2.58, 1 Br 2.69
Cl 0.0456 0.6592 0.1300  1 Pu 2.46
Cl 0.9544 0.8700 0.3408  1 Pu 2.46
Cl 0.9544 0.3408 0.8700  1 Pu 2.46
Cl 0.0456 0.1300 0.6592  1 Pu 2.46
Cl 0.3452 0.0763 0.0763  1 Pu 2.58, 1 Br 2.69
Cl 0.4526 0.5938 0.5938  1 Br 2.20
Br 0.4513 0.2580 0.2580  1 Cl 2.20
Cl 0.5474 0.4062 0.4062  1 Br 2.20
Br 0.5487 0.7420 0.7420  1 Cl 2.20

---

Entry 8:
The following is a DFT calculation (PBE-GGA) of a relaxed structure of CeTiReSi2.

Summary:
- space group = I-4m2
- formation energy from raw total energies (meV/atom) = -654

Lattice parameters (Å, degrees): 3.9990 3.9990 6.2454 108.67 108.67 90.00
Closest atoms and distances in Å follow each position.
Atoms (fractional coordinates):
Si 0.3909 0.3909 0.7819  1 Si 2.43, 2 Re 2.54, 2 Ti 2.54
Re 0.7500 0.2500 0.5000  4 Si 2.54, 4 Ti 2.83
Ti 0.2500 0.7500 0.5000  4 Si 2.54, 4 Re 2.83
Si 0.6091 0.6091 0.2181  1 Si 2.43, 2 Ti 2.54, 2 Re 2.54
Ce 0.0000 0.0000 0.0000  8 Si 3.08, 4 Ti 3.43, 4 Re 3.43

---

Entry 9:
The following is a DFT calculation (PBE-GGA) of a relaxed structure of Tb2BiIr.

Summary:
- calculated formation energy (meV per atom) = -635
- space group = R-3m
- offset from the most stable computed form (meV per atom) = 173

Lattice parameters (Å, degrees): 3.9934 3.9934 8.3929 76.24 76.24 60.00
Closest atoms and distances in Å follow each position.
Atoms (fractional coordinates):
Ir 0.5000 0.5000 0.5000  6 Tb 2.79
Tb 0.2317 0.2317 0.3048  3 Ir 2.79
Bi 0.0000 0.0000 0.0000  6 Tb 3.37
Tb 0.7683 0.7683 0.6952  3 Ir 2.79

---

Entry 10:
The following is a DFT calculation (PBE-GGA) of a relaxed structure of CsZn3Tc.

Summary:
- calculated formation energy (meV per atom) = 454
- space group = Pm-3m
- offset from the most stable computed form (meV per atom) = 0

Lattice parameters (Å, degrees): 5.1082 5.1082 5.1082 90.00 90.00 90.00
Closest atoms and distances in Å follow each position.
Atoms (fractional coordinates):
Zn 0.0000 0.0000 0.5000  2 Tc 2.55
Tc 0.0000 0.0000 0.0000  6 Zn 2.55
Zn 0.5000 0.0000 0.0000  2 Tc 2.55
Cs 0.5000 0.5000 0.5000  12 Zn 3.61
Zn 0.0000 0.5000 0.0000  2 Tc 2.55

---

Entry 11:
The following is a DFT calculation (PBE-GGA) of a relaxed structure of KAgBr4.

Summary:
- space group = F-43m
- offset from the most stable computed form (meV per atom) = 533
- formation energy from raw total energies (meV/atom) = -49

Lattice parameters (Å, degrees): 6.5461 6.5461 6.5461 60.00 60.00 60.00
Closest atoms and distances in Å follow each position.
Atoms (fractional coordinates):
Ag 0.0000 0.0000 0.0000  12 Br 3.84, 4 K 4.01
Br 0.8758 0.3747 0.3747  6 Br 3.27-3.28
K 0.7500 0.7500 0.7500  12 Br 3.84, 4 Ag 4.01
Br 0.3747 0.3747 0.8758  6 Br 3.27-3.28
Br 0.3747 0.3747 0.3747  6 Br 3.27-3.28
Br 0.3747 0.8758 0.3747  6 Br 3.27-3.28

---

Entry 12:
The following is a DFT calculation (PBE-GGA) of a relaxed structure of LaNdDySe3.

Summary:
- space group = P2_1/m
- formation energy from raw total energies (meV/atom) = -1798

Lattice parameters (Å, degrees): 4.0830 7.3150 10.9668 102.79 90.00 90.00
Closest atoms and distances in Å follow each position.
Atoms (fractional coordinates):
La 0.2500 0.3456 0.3014  7 Se 3.05-3.15
La 0.7500 0.6544 0.6986  7 Se 3.05-3.15
Nd 0.7500 0.8780 0.3679  5 Se 2.94-3.00
Nd 0.2500 0.1220 0.6321  5 Se 2.94-3.00
Se 0.2500 0.7146 0.5046  3 Nd 2.94-3.00, 3 La 3.05-3.10
Se 0.7500 0.0536 0.1505  3 Dy 2.88-2.94, 1 Nd 2.95, 2 La 3.15
Dy 0.2500 0.7681 0.0583  6 Se 2.88-2.95
Se 0.7500 0.5455 0.1551  3 Dy 2.89-2.95, 1 Nd 2.97, 2 La 3.15
Se 0.2500 0.4545 0.8449  3 Dy 2.89-2.95, 1 Nd 2.97, 2 La 3.15
Se 0.7500 0.2854 0.4954  3 Nd 2.94-3.00, 3 La 3.05-3.10
Dy 0.7500 0.2319 0.9417  6 Se 2.88-2.95
Se 0.2500 0.9464 0.8495  3 Dy 2.88-2.94, 1 Nd 2.95, 2 La 3.15

---

Entry 13:
The following is a DFT calculation (PBE-GGA) of a relaxed structure of Cs3CrBr.

Summary:
- space group = Pm-3m
- formation energy from raw total energies (meV/atom) = -112

Lattice parameters (Å, degrees): 6.9896 6.9896 6.9896 90.00 90.00 90.00
Closest atoms and distances in Å follow each position.
Atoms (fractional coordinates):
Cr 0.5000 0.5000 0.5000  12 Cs 4.94
Cs 0.0000 0.5000 0.0000  2 Br 3.49
Cs 0.0000 0.0000 0.5000  2 Br 3.49
Br 0.0000 0.0000 0.0000  6 Cs 3.49
Cs 0.5000 0.0000 0.0000  2 Br 3.49

---

no.,density of states at the Fermi level (states/eV/atom)
1,0.93
2,0.86
3,0.30
4,0.54
5,0.57
6,0.70
7,1.16
8,1.21
9,0.81
10,0.92
11,0.61
12,0.58
13,0.52